The following is a PBE+U calculation of a geometry-optimized Rb2VAsF6 structure, from Alexandria.

a b c (Å): 6.906 6.906 8.230
angles (deg): 90.00 90.00 90.00
Space group I4/mmm (No. 139)
One atom of each set of equivalent atoms:
Rb 0.000 0.500 0.250 x4
V 0.000 0.000 0.000 x2
As 0.000 0.000 0.500 x2
F 0.000 0.000 0.250 x4
F 0.199 0.199 0.000 x8

The crystal system is tetragonal. As for the size of the total moment: 0.00 Bohr magnetons per cell. For the total energy, the calculation gives -97.47 eV for the cell shown.